Entry 1:
Material: ScPa2Pt
Method: DFT, GGA-PBE
State: relaxed

Cell and atoms, written as CIF:
```
data_ScPa2Pt
_chemical_formula_sum 'Sc1 Pa2 Pt1'
_cell_length_a 3.099
_cell_length_b 3.099
_cell_length_c 11.224
_cell_angle_alpha 82.07
_cell_angle_beta 82.07
_cell_angle_gamma 60.00
_space_group_name_H-M_alt 'P 1'
_space_group_IT_number 1
_space_group_name_Hall 'P 1'
loop_
_atom_site_label
_atom_site_type_symbol
_atom_site_fract_x
_atom_site_fract_y
_atom_site_fract_z
_atom_site_occupancy
Pa1 Pa 0.918 0.918 0.246 1
Sc1 Sc 0.500 0.500 0.500 1
Pa2 Pa 0.082 0.082 0.754 1
Pt1 Pt 0.000 0.000 0.000 1
```

Output
**Volume**: 23.0 A^3/atom
**Size of the total moment**: 0.00 Bohr magnetons per cell

---

Entry 2:
Material: Sc2PaPt3
Method: DFT, GGA-PBE
State: relaxed

Cell and atoms, written as CIF:
```
data_Sc2PaPt3
_chemical_formula_sum 'Sc4 Pa2 Pt6'
_cell_length_a 3.256
_cell_length_b 4.804
_cell_length_c 14.835
_cell_angle_alpha 90.00
_cell_angle_beta 90.00
_cell_angle_gamma 90.00
_space_group_name_H-M_alt 'P 1'
_space_group_IT_number 1
_space_group_name_Hall 'P 1'
loop_
_atom_site_label
_atom_site_type_symbol
_atom_site_fract_x
_atom_site_fract_y
_atom_site_fract_z
_atom_site_occupancy
Pt1 Pt 0.500 0.000 0.176 1
Pa1 Pa 0.998 0.000 0.000 1
Sc1 Sc 0.000 0.000 0.331 1
Pt2 Pt 0.500 0.500 0.324 1
Pt3 Pt 0.498 0.500 0.000 1
Pt4 Pt 0.502 0.000 0.500 1
Sc2 Sc 0.000 0.500 0.169 1
Pa2 Pa 0.002 0.500 0.500 1
Sc3 Sc 0.000 0.000 0.669 1
Pt5 Pt 0.500 0.000 0.824 1
Pt6 Pt 0.500 0.500 0.676 1
Sc4 Sc 0.000 0.500 0.831 1
```

Output
**Volume**: 19.3 A^3/atom
**Size of the total moment**: 0.00 Bohr magnetons per cell

---

Entry 3:
Material: Sc4PaPt5
Method: DFT, GGA-PBE
State: relaxed

Cell and atoms, written as CIF:
```
data_Sc4PaPt5
_chemical_formula_sum 'Sc4 Pa1 Pt5'
_cell_length_a 3.254
_cell_length_b 3.254
_cell_length_c 17.510
_cell_angle_alpha 90.00
_cell_angle_beta 90.00
_cell_angle_gamma 90.00
_space_group_name_H-M_alt 'P 1'
_space_group_IT_number 1
_space_group_name_Hall 'P 1'
loop_
_atom_site_label
_atom_site_type_symbol
_atom_site_fract_x
_atom_site_fract_y
_atom_site_fract_z
_atom_site_occupancy
Pt1 Pt 0.500 0.500 0.885 1
Pt2 Pt 0.500 0.500 0.695 1
Sc1 Sc 0.000 0.000 0.790 1
Pt3 Pt 0.500 0.500 0.500 1
Pa1 Pa 0.000 0.000 0.000 1
Sc2 Sc 0.000 0.000 0.210 1
Sc3 Sc 0.000 0.000 0.403 1
Pt4 Pt 0.500 0.500 0.305 1
Sc4 Sc 0.000 0.000 0.597 1
Pt5 Pt 0.500 0.500 0.115 1
```

Output
**Volume**: 18.5 A^3/atom
**Size of the total moment**: 0.56 Bohr magnetons per cell

---

Entry 4:
Material: ScPa2Pt3
Method: DFT, GGA-PBE
State: relaxed

Cell and atoms, written as CIF:
```
data_ScPa2Pt3
_chemical_formula_sum 'Sc2 Pa4 Pt6'
_cell_length_a 4.716
_cell_length_b 7.137
_cell_length_c 8.374
_cell_angle_alpha 115.22
_cell_angle_beta 106.36
_cell_angle_gamma 90.00
_space_group_name_H-M_alt 'P 1'
_space_group_IT_number 1
_space_group_name_Hall 'P 1'
loop_
_atom_site_label
_atom_site_type_symbol
_atom_site_fract_x
_atom_site_fract_y
_atom_site_fract_z
_atom_site_occupancy
Pt1 Pt 0.667 0.630 0.833 1
Pa1 Pa 0.519 0.769 0.538 1
Pt2 Pt 0.333 0.370 0.167 1
Pt3 Pt 0.666 0.203 0.833 1
Pt4 Pt 0.000 0.000 0.500 1
Pt5 Pt 0.000 0.500 0.500 1
Pt6 Pt 0.334 0.797 0.167 1
Pa2 Pa 0.180 0.930 0.861 1
Pa3 Pa 0.481 0.231 0.462 1
Sc1 Sc 0.835 0.585 0.169 1
Pa4 Pa 0.820 0.070 0.139 1
Sc2 Sc 0.165 0.415 0.831 1
```

Output
**Volume**: 20.2 A^3/atom
**Size of the total moment**: 0.00 Bohr magnetons per cell

---

Entry 5:
Material: ScPaSi2Pt2
Method: DFT, GGA-PBE
State: relaxed

Cell and atoms, written as CIF:
```
data_ScPaSi2Pt2
_chemical_formula_sum 'Sc1 Pa1 Si2 Pt2'
_cell_length_a 4.209
_cell_length_b 4.209
_cell_length_c 7.182
_cell_angle_alpha 90.00
_cell_angle_beta 90.00
_cell_angle_gamma 120.00
_space_group_name_H-M_alt 'P 1'
_space_group_IT_number 1
_space_group_name_Hall 'P 1'
loop_
_atom_site_label
_atom_site_type_symbol
_atom_site_fract_x
_atom_site_fract_y
_atom_site_fract_z
_atom_site_occupancy
Sc1 Sc 0.000 0.000 0.500 1
Si1 Si 0.333 0.667 0.742 1
Pt1 Pt 0.333 0.667 0.277 1
Pa1 Pa 0.000 0.000 0.000 1
Pt2 Pt 0.667 0.333 0.723 1
Si2 Si 0.667 0.333 0.258 1
```

Output
**Formation energy without anion corrections**: -1053 meV/atom
**Volume**: 18.4 A^3/atom
**Size of the total moment**: 0.00 Bohr magnetons per cell

---

Entry 6:
Material: ScPaTcPt
Method: DFT, GGA-PBE
State: relaxed

Cell and atoms, written as CIF:
```
data_ScPaTcPt
_chemical_formula_sum 'Sc1 Pa1 Tc1 Pt1'
_cell_length_a 4.787
_cell_length_b 4.787
_cell_length_c 4.787
_cell_angle_alpha 60.00
_cell_angle_beta 60.00
_cell_angle_gamma 60.00
_space_group_name_H-M_alt 'P 1'
_space_group_IT_number 1
_space_group_name_Hall 'P 1'
loop_
_atom_site_label
_atom_site_type_symbol
_atom_site_fract_x
_atom_site_fract_y
_atom_site_fract_z
_atom_site_occupancy
Pt1 Pt 0.750 0.750 0.750 1
Tc1 Tc 0.250 0.250 0.250 1
Pa1 Pa 0.000 0.000 0.000 1
Sc1 Sc 0.500 0.500 0.500 1
```

Output
**Volume**: 19.4 A^3/atom
**Size of the total moment**: 0.00 Bohr magnetons per cell

---

Entry 7:
Material: ScPaZnPt
Method: DFT, GGA-PBE
State: relaxed

Cell and atoms, written as CIF:
```
data_ScPaZnPt
_chemical_formula_sum 'Sc1 Pa1 Zn1 Pt1'
_cell_length_a 4.874
_cell_length_b 4.874
_cell_length_c 4.874
_cell_angle_alpha 60.00
_cell_angle_beta 60.00
_cell_angle_gamma 60.00
_space_group_name_H-M_alt 'P 1'
_space_group_IT_number 1
_space_group_name_Hall 'P 1'
loop_
_atom_site_label
_atom_site_type_symbol
_atom_site_fract_x
_atom_site_fract_y
_atom_site_fract_z
_atom_site_occupancy
Pa1 Pa 0.250 0.250 0.250 1
Sc1 Sc 0.750 0.750 0.750 1
Zn1 Zn 0.000 0.000 0.000 1
Pt1 Pt 0.500 0.500 0.500 1
```

Output
**Volume**: 20.5 A^3/atom
**Size of the total moment**: 0.13 Bohr magnetons per cell

---

Entry 8:
Material: Pa6PtSe12
Method: DFT, GGA-PBE
State: relaxed

Cell and atoms, written as CIF:
```
data_Pa6PtSe12
_chemical_formula_sum 'Pa6 Pt1 Se12'
_cell_length_a 8.199
_cell_length_b 8.199
_cell_length_c 8.199
_cell_angle_alpha 101.12
_cell_angle_beta 101.12
_cell_angle_gamma 101.12
_space_group_name_H-M_alt 'P 1'
_space_group_IT_number 1
_space_group_name_Hall 'P 1'
loop_
_atom_site_label
_atom_site_type_symbol
_atom_site_fract_x
_atom_site_fract_y
_atom_site_fract_z
_atom_site_occupancy
Pa1 Pa 0.702 0.870 0.375 1
Se1 Se 0.941 0.048 0.688 1
Pa2 Pa 0.625 0.298 0.130 1
Se2 Se 0.577 0.435 0.825 1
Pa3 Pa 0.130 0.625 0.298 1
Se3 Se 0.312 0.059 0.952 1
Se4 Se 0.825 0.577 0.435 1
Se5 Se 0.435 0.825 0.577 1
Se6 Se 0.952 0.312 0.059 1
Pa4 Pa 0.298 0.130 0.625 1
Pa5 Pa 0.375 0.702 0.870 1
Se7 Se 0.565 0.175 0.423 1
Se8 Se 0.688 0.941 0.048 1
Pa6 Pa 0.870 0.375 0.702 1
Se9 Se 0.059 0.952 0.312 1
Se10 Se 0.048 0.688 0.941 1
Se11 Se 0.423 0.565 0.175 1
Se12 Se 0.175 0.423 0.565 1
Pt1 Pt 0.000 0.000 0.000 1
```

Output
**Formation energy without anion corrections**: -1149 meV/atom
**Volume**: 27.1 A^3/atom
**Size of the total moment**: 6.06 Bohr magnetons per cell

---

What are the total DFT energy (no corrections) values for these records? In order: -30.90, -93.21, -76.50, -98.21, -45.07, -34.61, -25.12, -126.65 eV for the cell shown.